[1]
! PBE La8CoIrPt2, optimized geometry; values from VASP
&SYSTEM
  ibrav = 0, nat = 12, ntyp = 4
/
ATOMIC_SPECIES
La 138.91 La.upf
Co 58.93 Co.upf
Ir 192.22 Ir.upf
Pt 195.08 Pt.upf
ATOMIC_POSITIONS angstrom
La 0.997 0.000 1.706
La 1.039 4.253 1.717
La 2.311 2.202 4.985
La 2.311 6.305 4.985
La 4.390 2.202 1.913
La 4.390 6.305 1.913
La 5.662 4.253 5.181
La 5.704 0.000 5.191
Co 3.351 4.253 3.449
Ir 3.351 0.000 3.449
Pt 0.000 2.138 0.000
Pt 0.000 6.369 0.000
CELL_PARAMETERS angstrom
6.792 0.000 0.000
0.000 8.507 0.000
-0.090 0.000 6.898
! - VASP energy (eV/atom) = -6.1854
! - total moment (μB per formula unit) = 0.00
! - SG = No. 10
! - E_form (meV/atom) = -563

***

[2]
! PBE TiZn3Bi, optimized geometry; values from VASP
&SYSTEM
  ibrav = 0, nat = 5, ntyp = 3
/
ATOMIC_SPECIES
Ti 47.87 Ti.upf
Zn 65.41 Zn.upf
Bi 208.98 Bi.upf
ATOMIC_POSITIONS angstrom
Ti 0.000 0.000 0.000
Zn 0.000 0.000 2.484
Zn 0.000 2.484 0.000
Zn 2.484 0.000 0.000
Bi 2.484 2.484 2.484
CELL_PARAMETERS angstrom
4.967 0.000 0.000
0.000 4.967 0.000
0.000 0.000 4.967
! - VASP energy (eV/atom) = -2.4198
! - total moment (μB per formula unit) = 0.77
! - SG = No. 221
! - E_form (meV/atom) = 700
! - energy relative to the lowest polymorph listed for this composition (eV per atom) = 0.0000

***

[3]
! PBE Sc2TlTe, optimized geometry; values from VASP
&SYSTEM
  ibrav = 0, nat = 4, ntyp = 3
/
ATOMIC_SPECIES
Sc 44.96 Sc.upf
Tl 204.38 Tl.upf
Te 127.60 Te.upf
ATOMIC_POSITIONS angstrom
Sc 0.000 0.000 0.000
Sc 1.858 1.858 1.858
Tl 5.574 5.574 5.574
Te 3.716 3.716 3.716
CELL_PARAMETERS angstrom
0.000 3.716 3.716
3.716 0.000 3.716
3.716 3.716 0.000
! - E_form (uncorrected) (eV/atom) = 0.008
! - VASP energy (eV/atom) = -4.5344
! - total moment (μB per formula unit) = 2.27
! - SG = No. 216
! - energy relative to the lowest polymorph listed for this composition (eV per atom) = 0.6571

***

[4]
! PBE Sr2PmScS4, optimized geometry; values from VASP
&SYSTEM
  ibrav = 0, nat = 8, ntyp = 4
/
ATOMIC_SPECIES
Sr 87.62 Sr.upf
Pm 145.00 Pm.upf
Sc 44.96 Sc.upf
S 32.06 S.upf
ATOMIC_POSITIONS angstrom
Sr 0.000 0.000 0.000
Sr 3.481 2.013 0.000
Pm -1.161 2.013 3.376
Sc 2.319 0.000 3.376
S 0.086 0.000 4.935
S 1.240 2.013 1.871
S 3.398 2.013 4.882
S 4.553 0.000 1.818
CELL_PARAMETERS angstrom
6.962 0.000 0.000
0.000 4.026 0.000
-2.323 0.000 6.752
! - E_form (uncorrected) (eV/atom) = -1.974
! - VASP energy (eV/atom) = -5.8430
! - total moment (μB per formula unit) = 0.00
! - SG = No. 10